1.
Computed, not measured: crystalline Sr3CdAg2 at its relaxed geometry at the PBE level of DFT.

The structure in extended XYZ format:
```
6
Lattice="3.9453 0.0000 0.0000 0.0000 3.9453 0.0000 0.0000 0.0000 12.1174" Properties=species:S:1:pos:R:3 pbc="T T T"
Sr 0.0000 0.0000 0.0000
Sr 0.0000 0.0000 3.9491
Sr 0.0000 0.0000 8.1683
Cd 1.9726 1.9726 6.0587
Ag 1.9726 1.9726 1.9828
Ag 1.9726 1.9726 10.1346
```

Properties
SG: P4/mmm
Energy above the most stable polymorph in this dataset: 0.00 kJ per mole of atoms
Total magnetization: 0.00 μB/cell
Volume: 31.44 Å³/atom
Calculated formation energy: -283 meV per atom

---

2.
Computed, not measured: crystalline Er2Be2Ge3 at its relaxed geometry at the PBE level of DFT.

The structure in extended XYZ format:
```
14
Lattice="2.0408 -9.7078 0.0000 2.0408 9.7078 0.0000 0.0000 0.0000 6.2355" Properties=species:S:1:pos:R:3 pbc="T T T"
Er 2.0408 9.1364 4.6766
Er 2.0408 6.5662 1.5589
Er 2.0408 -6.5662 4.6766
Er 2.0408 -9.1364 1.5589
Be 2.0408 3.8221 0.3716
Be 2.0408 3.8221 2.7461
Be 2.0408 -3.8221 3.4893
Be 2.0408 -3.8221 5.8639
Ge 2.0408 5.4613 4.6766
Ge 2.0408 1.5086 3.3811
Ge 2.0408 1.5086 5.9721
Ge 2.0408 -1.5086 0.2633
Ge 2.0408 -1.5086 2.8544
Ge 2.0408 -5.4613 1.5589
```

Properties
SG: Cmcm
Total magnetization: 0.00 μB/cell
Volume: 17.65 Å³/atom
Calculated formation energy: -406 meV per atom

---

3.
Computed, not measured: crystalline Ce12SiTc6 at its relaxed geometry at the PBE level of DFT.

The structure in extended XYZ format:
```
19
Lattice="6.5431 3.7777 2.9309 -6.5431 3.7777 2.9309 0.0000 -7.5554 2.9309" Properties=species:S:1:pos:R:3 pbc="T T T"
Ce -0.4423 -2.0882 1.8956
Ce -1.5873 1.4272 1.8956
Ce -3.1362 -0.5673 3.9080
Ce -1.0768 -2.9997 4.8847
Ce 2.0296 0.6610 1.8956
Ce 2.0594 -2.4324 3.9080
Ce -2.0594 2.4324 4.8847
Ce -2.0296 -0.6610 6.8971
Ce 1.0768 2.9997 3.9080
Ce 3.1362 0.5673 4.8847
Ce 1.5873 -1.4272 6.8971
Ce 0.4423 2.0882 6.8971
Si 0.0000 0.0000 4.3964
Tc -4.8658 1.5666 3.7367
Tc -3.7896 -3.4306 5.0560
Tc 1.0762 -4.9972 3.7367
Tc -1.0762 4.9972 5.0560
Tc 3.7896 3.4306 3.7367
Tc 4.8658 -1.5666 5.0560
```

Properties
Formation energy without anion corrections: -0.034 eV per atom
SG: R-3
Total magnetization: 0.00 μB/cell
Volume: 22.88 Å³/atom

---

4.
Computed, not measured: crystalline LiVCuS at its relaxed geometry at the PBE level of DFT.

The structure in extended XYZ format:
```
4
Lattice="2.6107 -1.5079 0.0000 2.6107 1.5079 0.0000 -1.7305 0.0000 7.4117" Properties=species:S:1:pos:R:3 pbc="T T T"
Li 0.0000 0.0000 0.0000
V 0.0107 0.0000 4.1037
Cu 1.7533 0.0000 2.1827
S 1.7512 0.0000 5.6051
```

Properties
Formation energy without anion corrections: -0.321 eV per atom
SG: Cm
Energy above the most stable polymorph in this dataset: 3.62 kJ per mole of atoms
Total magnetization: 0.00 μB/cell
Volume: 14.59 Å³/atom

---

5.
Computed, not measured: crystalline Ta8Os7 at its relaxed geometry at the PBE level of DFT.

The structure in extended XYZ format:
```
30
Lattice="9.7910 0.0000 0.0000 0.0000 9.7910 0.0000 0.0000 0.0000 5.1361" Properties=species:S:1:pos:R:3 pbc="T T T"
Ta 0.3850 3.5866 0.0000
Ta 1.3089 5.2805 2.5681
Ta 1.7270 8.0640 1.2829
Ta 1.7270 8.0640 3.8533
Ta 3.1685 3.1685 1.2852
Ta 3.1685 3.1685 3.8509
Ta 3.5866 0.3850 0.0000
Ta 4.5104 8.4821 2.5681
Ta 5.2805 1.3089 2.5681
Ta 6.2043 9.4059 0.0000
Ta 6.6225 6.6225 1.2852
Ta 6.6225 6.6225 3.8509
Ta 8.0640 1.7270 1.2829
Ta 8.0640 1.7270 3.8533
Ta 8.4821 4.5104 2.5681
Ta 9.4059 6.2043 0.0000
Os 0.0000 0.0000 2.5681
Os 0.6986 2.5660 2.5681
Os 0.9975 0.9975 0.0000
Os 2.3294 5.5941 0.0000
Os 2.5660 0.6986 2.5681
Os 3.8980 5.8930 2.5681
Os 4.1969 7.4615 0.0000
Os 4.8955 4.8955 0.0000
Os 5.5941 2.3294 0.0000
Os 5.8930 3.8980 2.5681
Os 7.2249 9.0923 2.5681
Os 7.4615 4.1969 0.0000
Os 8.7935 8.7935 0.0000
Os 9.0923 7.2249 2.5681
```

Properties
SG: P4_2/mnm
Total magnetization: 0.00 μB/cell
Volume: 16.41 Å³/atom
Calculated formation energy: -242 meV per atom

---

6.
Computed, not measured: crystalline Na2MgIn4 at its relaxed geometry at the PBE level of DFT.

The structure in extended XYZ format:
```
7
Lattice="-2.2730 2.2730 9.2200 2.2730 -2.2730 9.2200 2.2730 2.2730 -9.2200" Properties=species:S:1:pos:R:3 pbc="T T T"
Na 0.0000 0.0000 4.6057
Na 0.0000 0.0000 13.8344
Mg 0.0000 0.0000 0.0000
In 2.2730 0.0000 2.0454
In 2.2730 0.0000 7.1746
In 0.0000 2.2730 2.0454
In 0.0000 2.2730 7.1746
```

Properties
SG: I4/mmm
Energy above the most stable polymorph in this dataset: 0.00 kJ per mole of atoms
Total magnetization: 0.00 μB/cell
Volume: 27.22 Å³/atom
Calculated formation energy: -23 meV per atom

---

7.
Computed, not measured: crystalline AcZn2Pt2Au at its relaxed geometry at the PBE level of DFT.

The structure in extended XYZ format:
```
6
Lattice="4.4397 0.0000 0.0000 -2.2198 3.8449 0.0000 0.0000 0.0000 7.0930" Properties=species:S:1:pos:R:3 pbc="T T T"
Ac 0.0000 0.0000 0.0000
Zn 0.0000 2.5633 2.3867
Zn 2.2198 1.2816 4.7063
Pt 0.0000 2.5633 5.1033
Pt 2.2198 1.2816 1.9897
Au 0.0000 0.0000 3.5465
```

Properties
SG: P-3m1
Total magnetization: 0.00 μB/cell
Volume: 20.18 Å³/atom
Calculated formation energy: -716 meV per atom

---

8.
Computed, not measured: crystalline CeNiAs at its relaxed geometry at the PBE level of DFT.

The structure in extended XYZ format:
```
3
Lattice="4.1132 0.0000 0.0000 -2.0566 3.5622 0.0000 0.0000 0.0000 3.9578" Properties=species:S:1:pos:R:3 pbc="T T T"
Ce 0.0000 0.0000 0.0000
Ni 2.0566 1.1874 1.9789
As 0.0000 2.3748 1.9789
```

Properties
SG: P-6m2
Total magnetization: 0.83 μB/cell
Volume: 19.33 Å³/atom
Calculated formation energy: -1020 meV per atom

---

9.
Computed, not measured: crystalline KZnPb at its relaxed geometry at the PBE level of DFT.

The structure in extended XYZ format:
```
6
Lattice="6.5171 0.0000 0.0000 0.0000 4.3967 0.0000 -0.4732 0.0000 7.0046" Properties=species:S:1:pos:R:3 pbc="T T T"
K 0.4422 1.0992 1.7411
K 5.6017 3.2975 5.2635
Zn 2.4749 3.2975 3.8652
Zn 3.5690 1.0992 3.1394
Pb 2.1997 1.0992 5.7602
Pb 3.8441 3.2975 1.2444
```

Properties
SG: P2_1/m
Energy above the most stable polymorph in this dataset: 0.00 kJ per mole of atoms
Total magnetization: 0.00 μB/cell
Volume: 33.45 Å³/atom
Calculated formation energy: -36 meV per atom

---

10.
Computed, not measured: crystalline LiDy3Co at its relaxed geometry at the PBE level of DFT.

The structure in extended XYZ format:
```
5
Lattice="5.2243 0.0000 0.0000 0.0000 5.2243 0.0000 0.0000 0.0000 5.2243" Properties=species:S:1:pos:R:3 pbc="T T T"
Li 0.0000 0.0000 0.0000
Dy 0.0000 2.6122 2.6122
Dy 2.6122 0.0000 2.6122
Dy 2.6122 2.6122 0.0000
Co 2.6122 2.6122 2.6122
```

Properties
SG: Pm-3m
Total magnetization: 0.00 μB/cell
Volume: 28.52 Å³/atom
Calculated formation energy: 3 meV per atom

---

11.
Computed, not measured: crystalline Pa2Be3Si4Au at its relaxed geometry at the PBE level of DFT.

The structure in extended XYZ format:
```
10
Lattice="3.9723 0.0000 0.0000 0.0000 3.9723 0.0000 0.0000 0.0000 9.7847" Properties=species:S:1:pos:R:3 pbc="T T T"
Pa 0.0000 1.9862 2.2900
Pa 1.9862 0.0000 7.4946
Be 0.0000 1.9862 8.6410
Be 1.9862 0.0000 1.1437
Be 1.9862 1.9862 4.8923
Si 0.0000 0.0000 0.0000
Si 0.0000 1.9862 6.4251
Si 1.9862 0.0000 3.3596
Si 1.9862 1.9862 0.0000
Au 0.0000 0.0000 4.8923
```

Properties
Formation energy without anion corrections: -0.303 eV per atom
SG: P-4m2
Total magnetization: 0.00 μB/cell
Volume: 15.44 Å³/atom

---

12.
Computed, not measured: crystalline LiPr2Bi at its relaxed geometry at the PBE level of DFT.

The structure in extended XYZ format:
```
8
Lattice="-3.5514 4.4336 3.7305 3.5514 -4.4336 3.7305 3.5514 4.4336 -3.7305" Properties=species:S:1:pos:R:3 pbc="T T T"
Li 0.0000 2.2168 0.3349
Li 3.5514 2.2168 3.3956
Pr 1.7757 4.2210 -1.8653
Pr 1.7757 -0.2126 1.8653
Pr -1.7757 4.6462 1.8653
Pr 1.7757 4.6462 1.8653
Bi 3.5514 2.2168 0.2996
Bi 0.0000 2.2168 3.4310
```

Properties
SG: Imma
Energy above the most stable polymorph in this dataset: 0.00 kJ per mole of atoms
Total magnetization: 0.00 μB/cell
Volume: 29.37 Å³/atom
Calculated formation energy: -450 meV per atom

---

13.
Computed, not measured: crystalline Ba3SrTl2O6 at its relaxed geometry at the PBE level of DFT.

The structure in extended XYZ format:
```
12
Lattice="6.5281 0.0000 0.0000 -3.2640 5.6535 0.0000 0.0000 0.0000 7.0408" Properties=species:S:1:pos:R:3 pbc="T T T"
Ba 0.0000 0.0000 0.0000
Ba 0.0000 3.7690 4.2166
Ba 3.2640 1.8845 2.8243
Sr 0.0000 0.0000 3.5204
Tl 0.0000 3.7690 0.8397
Tl 3.2640 1.8845 6.2011
O 0.0000 1.9417 2.0824
O -1.5824 4.6826 2.0824
O 1.6816 0.9709 4.9584
O 1.5824 4.6826 2.0824
O 4.8465 0.9709 4.9584
O 3.2640 3.7117 4.9584
```

Properties
Formation energy without anion corrections: -1.775 eV per atom
SG: P-3m1
Total magnetization: 1.61 μB/cell
Volume: 21.65 Å³/atom

---

14.
Computed, not measured: crystalline Ba2ZrN2Cl2 at its relaxed geometry at the PBE level of DFT.

The structure in extended XYZ format:
```
7
Lattice="-2.2268 2.2268 8.0350 2.2268 -2.2268 8.0350 2.2268 2.2268 -8.0350" Properties=species:S:1:pos:R:3 pbc="T T T"
Ba 0.0000 0.0000 1.7802
Ba 0.0000 0.0000 14.2899
Zr 0.0000 0.0000 8.0350
N 2.2268 0.0000 0.0000
N 0.0000 2.2268 0.0000
Cl 0.0000 0.0000 5.2692
Cl 0.0000 0.0000 10.8008
```

Properties
Formation energy without anion corrections: -1.638 eV per atom
SG: I4/mmm
Total magnetization: 0.00 μB/cell
Volume: 22.77 Å³/atom

---

15.
Computed, not measured: crystalline Sm8Ho3Th2 at its relaxed geometry at the PBE level of DFT.

The structure in extended XYZ format:
```
26
Lattice="6.2215 0.0000 0.0000 1.6324 7.5325 0.0000 2.8654 0.6098 18.5916" Properties=species:S:1:pos:R:3 pbc="T T T"
Sm 1.3058 3.7272 3.2993
Sm 1.4327 0.3825 4.4365
Sm 2.4444 0.7594 10.7286
Sm 3.3261 4.6694 5.8673
Sm 3.4675 1.4413 7.1734
Sm 2.7448 1.1470 1.1211
Sm 5.2906 5.6746 8.6055
Sm 4.2265 5.1423 2.0752
Sm 6.4928 3.0000 16.5164
Sm 5.4288 2.4677 9.9861
Sm 7.9745 6.9953 17.4704
Sm 7.2519 6.7010 11.4182
Sm 7.3932 3.4729 12.7243
Sm 8.2749 7.3829 7.8630
Sm 9.2866 7.7598 14.1551
Sm 9.4135 4.4151 15.2923
Ho 0.8162 3.7663 0.0000
Ho 2.2489 4.0711 9.2958
Ho 4.4568 1.8303 13.5389
Ho 6.1485 6.0899 14.6808
Ho 4.5709 2.0524 3.9108
Ho 6.2625 6.3120 5.0527
Th 3.2660 1.0441 17.0211
Th 4.2303 5.0489 12.0404
Th 6.4891 3.0934 6.5511
Th 7.4534 7.0981 1.5705
```

Properties
SG: P-1
Total magnetization: 0.00 μB/cell
Volume: 33.51 Å³/atom
Calculated formation energy: 117 meV per atom

---

16.
Computed, not measured: crystalline ScAg2Rh at its relaxed geometry at the PBE level of DFT.

The structure in extended XYZ format:
```
4
Lattice="0.0000 3.2644 3.2644 3.2644 0.0000 3.2644 3.2644 3.2644 0.0000" Properties=species:S:1:pos:R:3 pbc="T T T"
Sc 0.0000 0.0000 0.0000
Ag 1.6322 1.6322 1.6322
Ag 3.2644 3.2644 3.2644
Rh 4.8966 4.8966 4.8966
```

Properties
SG: F-43m
Total magnetization: 0.00 μB/cell
Volume: 17.39 Å³/atom
Calculated formation energy: -292 meV per atom

---

17.
Computed, not measured: crystalline BaNaNbCo2 at its relaxed geometry at the PBE level of DFT.

The structure in extended XYZ format:
```
5
Lattice="4.8476 0.0000 0.0000 0.0000 4.8476 0.0000 0.0000 0.0000 5.2584" Properties=species:S:1:pos:R:3 pbc="T T T"
Ba 0.0000 0.0000 0.0000
Na 0.0000 0.0000 2.6292
Nb 2.4238 2.4238 0.0000
Co 0.0000 2.4238 2.6292
Co 2.4238 0.0000 2.6292
```

Properties
SG: P4/mmm
Energy above the most stable polymorph in this dataset: 0.00 kJ per mole of atoms
Total magnetization: 0.34 μB/cell
Volume: 24.71 Å³/atom
Calculated formation energy: 1933 meV per atom

---

18.
Computed, not measured: crystalline HoTlBr at its relaxed geometry at the PBE level of DFT.

The structure in extended XYZ format:
```
6
Lattice="3.8691 0.0000 0.0000 0.0047 5.2715 0.0000 1.9277 1.1475 8.2668" Properties=species:S:1:pos:R:3 pbc="T T T"
Ho 0.9684 2.1891 2.2097
Ho 4.8330 4.2299 6.0571
Tl 2.9040 1.7941 5.0917
Tl 2.8974 4.6250 3.1750
Br 2.8979 5.0859 7.9738
Br 2.9035 1.3331 0.2930
```

Properties
Formation energy without anion corrections: -0.770 eV per atom
SG: P-1
Energy above the most stable polymorph in this dataset: 10.65 kJ per mole of atoms
Total magnetization: 0.00 μB/cell
Volume: 28.10 Å³/atom

---

19.
Computed, not measured: crystalline ZrUReTc at its relaxed geometry at the PBE level of DFT.

The structure in extended XYZ format:
```
4
Lattice="0.0000 3.3420 3.3420 3.3420 0.0000 3.3420 3.3420 3.3420 0.0000" Properties=species:S:1:pos:R:3 pbc="T T T"
Zr 0.0000 0.0000 0.0000
U 3.3420 3.3420 3.3420
Re 1.6710 1.6710 1.6710
Tc 5.0130 5.0130 5.0130
```

Properties
SG: F-43m
Total magnetization: 1.34 μB/cell
Volume: 18.66 Å³/atom
Calculated formation energy: -58 meV per atom

---

20.
Computed, not measured: crystalline Cs12K6Se at its relaxed geometry at the PBE level of DFT.

The structure in extended XYZ format:
```
19
Lattice="10.0058 5.7769 5.5945 -10.0058 5.7769 5.5945 0.0000 -11.5537 5.5945" Properties=species:S:1:pos:R:3 pbc="T T T"
Cs -6.8973 -2.9252 9.7064
Cs -0.9154 -7.4358 7.0770
Cs -2.0720 -2.1564 6.5408
Cs -5.9819 4.5106 7.0770
Cs -0.8315 2.8726 6.5408
Cs -2.9035 0.7162 10.2426
Cs 2.9035 -0.7162 6.5408
Cs 0.8315 -2.8726 10.2426
Cs 5.9819 -4.5106 9.7064
Cs 2.0719 2.1564 10.2426
Cs 0.9154 7.4358 9.7064
Cs 6.8973 2.9252 7.0770
K -4.5713 0.9439 3.7952
K 1.4682 -4.4309 3.7952
K 3.1031 3.4869 3.7952
K -3.1031 -3.4869 12.9883
K -1.4682 4.4309 12.9883
K 4.5713 -0.9439 12.9883
Se 0.0000 0.0000 8.3917
```

Properties
Formation energy without anion corrections: -0.104 eV per atom
SG: R-3
Total magnetization: 0.00 μB/cell
Volume: 102.12 Å³/atom

---

21.
Computed, not measured: crystalline Cu4OF5 at its relaxed geometry at the PBE level of DFT.

The structure in extended XYZ format:
```
20
Lattice="6.4565 0.0000 0.0000 0.0000 7.2443 0.0000 0.0000 0.0000 5.0372" Properties=species:S:1:pos:R:3 pbc="T T T"
Cu 0.2409 1.8111 0.2873
Cu 1.6141 0.1032 2.5453
Cu 1.6141 3.5189 2.5453
Cu 2.9873 1.8111 0.2873
Cu 3.4692 5.4332 4.7499
Cu 4.8424 3.7254 2.4919
Cu 4.8424 7.1411 2.4919
Cu 6.2156 5.4332 4.7499
O 1.6141 1.8111 1.5769
O 4.8424 5.4332 3.4603
F 0.0309 4.1106 1.2591
F 0.0309 6.7559 1.2591
F 1.6141 5.4332 3.5746
F 3.1974 4.1106 1.2591
F 3.1974 6.7559 1.2591
F 3.2591 0.4884 3.7781
F 3.2591 3.1337 3.7781
F 4.8424 1.8111 1.4627
F 6.4256 0.4884 3.7781
F 6.4256 3.1337 3.7781
```

Properties
Formation energy without anion corrections: -1.199 eV per atom
SG: Pmmn
Total magnetization: 6.05 μB/cell
Volume: 11.78 Å³/atom

---

22.
Computed, not measured: crystalline BaTa2PbSe at its relaxed geometry at the PBE level of DFT.

The structure in extended XYZ format:
```
5
Lattice="4.8933 0.0000 0.0000 0.0000 4.8933 0.0000 0.0000 0.0000 6.0236" Properties=species:S:1:pos:R:3 pbc="T T T"
Ba 0.0000 0.0000 0.0000
Ta 0.0000 2.4466 3.0118
Ta 2.4466 0.0000 3.0118
Pb 2.4466 2.4466 0.0000
Se 0.0000 0.0000 3.0118
```

Properties
Formation energy without anion corrections: 0.662 eV per atom
SG: P4/mmm
Total magnetization: 0.62 μB/cell
Volume: 28.85 Å³/atom